Computed, not measured: a relaxed SmY2Sn crystal at the PBE level of DFT.

space group	P4/mmm (123)
ΔE_f	-0.316	eV per atom
Fermi-level density of states	5.5	states/eV per cell
energy above the lowest structure with this stoichiometry	109	meV per atom

abc: 3.816 3.816 8.309
angles: 90.00 90.00 90.00
Sites, in units of the cell vectors:
Y1 0.000 0.000 0.783
Y2 0.000 0.000 0.217
Sn1 0.500 0.500 0.000
Sm1 0.500 0.500 0.500